{
  "formula": "EuHg2Au",
  "functional": "PBE-GGA",
  "state": "relaxed",
  "lattice_angstrom": [[4.5554, 0.0000, 0.0000], [0.0000, 4.5554, 0.0000], [0.0000, 0.0000, 4.9376]],
  "species": ["Eu", "Hg", "Hg", "Au"],
  "fractional_positions": [[0.0000, 0.0000, 0.0000], [0.0000, 0.5000, 0.5000], [0.5000, 0.0000, 0.5000], [0.5000, 0.5000, 0.0000]],
  "spacegroup": "No. 123",
  "formation_enthalpy_0k_mev_per_atom": -421.4,
  "final_energy_ev_per_atom": -3.960,
  "volume_a3_per_cell": 102.5
}


{
  "formula": "Eu2HgAu",
  "functional": "PBE-GGA",
  "state": "relaxed",
  "lattice_angstrom": [[0.0000, 3.8139, 3.8139], [3.8139, 0.0000, 3.8139], [3.8139, 3.8139, 0.0000]],
  "species": ["Eu", "Eu", "Hg", "Au"],
  "fractional_positions": [[0.2500, 0.2500, 0.2500], [0.7500, 0.7500, 0.7500], [0.0000, 0.0000, 0.0000], [0.5000, 0.5000, 0.5000]],
  "spacegroup": "No. 225",
  "formation_enthalpy_0k_mev_per_atom": -647.8,
  "final_energy_ev_per_atom": -6.680,
  "relative_energy_mev_per_atom": 15.1,
  "volume_a3_per_cell": 111.0
}


{
  "formula": "EuHoHgAu",
  "functional": "PBE-GGA",
  "state": "relaxed",
  "lattice_angstrom": [[0.0000, 3.7176, 3.7176], [3.7176, 0.0000, 3.7176], [3.7176, 3.7176, 0.0000]],
  "species": ["Eu", "Ho", "Hg", "Au"],
  "fractional_positions": [[0.0000, 0.0000, 0.0000], [0.5000, 0.5000, 0.5000], [0.2500, 0.2500, 0.2500], [0.7500, 0.7500, 0.7500]],
  "spacegroup": "No. 216",
  "formation_enthalpy_0k_mev_per_atom": -621.6,
  "final_energy_ev_per_atom": -5.229,
  "volume_a3_per_cell": 102.8
}


{
  "formula": "LaEuHgAu",
  "functional": "PBE-GGA",
  "state": "relaxed",
  "lattice_angstrom": [[0.0000, 3.8269, 3.8269], [3.8269, 0.0000, 3.8269], [3.8269, 3.8269, 0.0000]],
  "species": ["La", "Eu", "Hg", "Au"],
  "fractional_positions": [[0.0000, 0.0000, 0.0000], [0.5000, 0.5000, 0.5000], [0.2500, 0.2500, 0.2500], [0.7500, 0.7500, 0.7500]],
  "spacegroup": "No. 216",
  "formation_enthalpy_0k_mev_per_atom": -644.7,
  "final_energy_ev_per_atom": -5.340,
  "volume_a3_per_cell": 112.1
}


{
  "formula": "EuLuHgAu",
  "functional": "PBE-GGA",
  "state": "relaxed",
  "lattice_angstrom": [[0.0000, 3.6903, 3.6903], [3.6903, 0.0000, 3.6903], [3.6903, 3.6903, 0.0000]],
  "species": ["Eu", "Lu", "Hg", "Au"],
  "fractional_positions": [[0.0000, 0.0000, 0.0000], [0.5000, 0.5000, 0.5000], [0.7500, 0.7500, 0.7500], [0.2500, 0.2500, 0.2500]],
  "spacegroup": "No. 216",
  "formation_enthalpy_0k_mev_per_atom": -608.0,
  "final_energy_ev_per_atom": -5.202,
  "volume_a3_per_cell": 100.5
}


{
  "formula": "NaEuHgAu",
  "functional": "PBE-GGA",
  "state": "relaxed",
  "lattice_angstrom": [[0.0000, 3.7293, 3.7293], [3.7293, 0.0000, 3.7293], [3.7293, 3.7293, 0.0000]],
  "species": ["Na", "Eu", "Hg", "Au"],
  "fractional_positions": [[0.0000, 0.0000, 0.0000], [0.5000, 0.5000, 0.5000], [0.2500, 0.2500, 0.2500], [0.7500, 0.7500, 0.7500]],
  "spacegroup": "No. 216",
  "formation_enthalpy_0k_mev_per_atom": -468.4,
  "final_energy_ev_per_atom": -4.262,
  "volume_a3_per_cell": 103.7
}


{
  "formula": "EuPaHgAu",
  "functional": "PBE-GGA",
  "state": "relaxed",
  "lattice_angstrom": [[0.0000, 3.7243, 3.7243], [3.7243, 0.0000, 3.7243], [3.7243, 3.7243, 0.0000]],
  "species": ["Eu", "Pa", "Hg", "Au"],
  "fractional_positions": [[0.0000, 0.0000, 0.0000], [0.5000, 0.5000, 0.5000], [0.2500, 0.2500, 0.2500], [0.7500, 0.7500, 0.7500]],
  "spacegroup": "No. 216",
  "formation_enthalpy_0k_mev_per_atom": -177.2,
  "final_energy_ev_per_atom": -6.015,
  "volume_a3_per_cell": 103.3
}


{
  "formula": "EuHgPdAu",
  "functional": "PBE-GGA",
  "state": "relaxed",
  "lattice_angstrom": [[0.0000, 3.5231, 3.5231], [3.5231, 0.0000, 3.5231], [3.5231, 3.5231, 0.0000]],
  "species": ["Eu", "Hg", "Pd", "Au"],
  "fractional_positions": [[0.0000, 0.0000, 0.0000], [0.5000, 0.5000, 0.5000], [0.7500, 0.7500, 0.7500], [0.2500, 0.2500, 0.2500]],
  "spacegroup": "No. 216",
  "formation_enthalpy_0k_mev_per_atom": -478.3,
  "final_energy_ev_per_atom": -5.240,
  "volume_a3_per_cell": 87.5
}


{
  "formula": "PmEuHgAu",
  "functional": "PBE-GGA",
  "state": "relaxed",
  "lattice_angstrom": [[0.0000, 3.6386, 3.6386], [3.6386, 0.0000, 3.6386], [3.6386, 3.6386, 0.0000]],
  "species": ["Pm", "Eu", "Hg", "Au"],
  "fractional_positions": [[0.0000, 0.0000, 0.0000], [0.2500, 0.2500, 0.2500], [0.5000, 0.5000, 0.5000], [0.7500, 0.7500, 0.7500]],
  "spacegroup": "No. 216",
  "formation_enthalpy_0k_mev_per_atom": -406.6,
  "final_energy_ev_per_atom": -5.058,
  "volume_a3_per_cell": 96.3
}


{
  "formula": "RbEuHgAu",
  "functional": "PBE-GGA",
  "state": "relaxed",
  "lattice_angstrom": [[0.0000, 4.0019, 4.0019], [4.0019, 0.0000, 4.0019], [4.0019, 4.0019, 0.0000]],
  "species": ["Rb", "Eu", "Hg", "Au"],
  "fractional_positions": [[0.0000, 0.0000, 0.0000], [0.5000, 0.5000, 0.5000], [0.7500, 0.7500, 0.7500], [0.2500, 0.2500, 0.2500]],
  "spacegroup": "No. 216",
  "formation_enthalpy_0k_mev_per_atom": -278.9,
  "final_energy_ev_per_atom": -3.984,
  "volume_a3_per_cell": 128.2
}


{
  "formula": "EuScHgAu",
  "functional": "PBE-GGA",
  "state": "relaxed",
  "lattice_angstrom": [[0.0000, 3.6386, 3.6386], [3.6386, 0.0000, 3.6386], [3.6386, 3.6386, 0.0000]],
  "species": ["Eu", "Sc", "Hg", "Au"],
  "fractional_positions": [[0.0000, 0.0000, 0.0000], [0.5000, 0.5000, 0.5000], [0.7500, 0.7500, 0.7500], [0.2500, 0.2500, 0.2500]],
  "spacegroup": "No. 216",
  "formation_enthalpy_0k_mev_per_atom": -524.2,
  "final_energy_ev_per_atom": -5.571,
  "volume_a3_per_cell": 96.3
}


{
  "formula": "SmEuHgAu",
  "functional": "PBE-GGA",
  "state": "relaxed",
  "lattice_angstrom": [[0.0000, 3.7646, 3.7646], [3.7646, 0.0000, 3.7646], [3.7646, 3.7646, 0.0000]],
  "species": ["Sm", "Eu", "Hg", "Au"],
  "fractional_positions": [[0.0000, 0.0000, 0.0000], [0.5000, 0.5000, 0.5000], [0.2500, 0.2500, 0.2500], [0.7500, 0.7500, 0.7500]],
  "spacegroup": "No. 216",
  "formation_enthalpy_0k_mev_per_atom": -622.7,
  "final_energy_ev_per_atom": -5.266,
  "volume_a3_per_cell": 106.7
}


{
  "formula": "SrEuHgAu",
  "functional": "PBE-GGA",
  "state": "relaxed",
  "lattice_angstrom": [[0.0000, 3.8666, 3.8666], [3.8666, 0.0000, 3.8666], [3.8666, 3.8666, 0.0000]],
  "species": ["Sr", "Eu", "Hg", "Au"],
  "fractional_positions": [[0.0000, 0.0000, 0.0000], [0.5000, 0.5000, 0.5000], [0.7500, 0.7500, 0.7500], [0.2500, 0.2500, 0.2500]],
  "spacegroup": "No. 216",
  "formation_enthalpy_0k_mev_per_atom": -621.8,
  "final_energy_ev_per_atom": -4.506,
  "volume_a3_per_cell": 115.6
}


{
  "formula": "TbEuHgAu",
  "functional": "PBE-GGA",
  "state": "relaxed",
  "lattice_angstrom": [[0.0000, 3.7332, 3.7332], [3.7332, 0.0000, 3.7332], [3.7332, 3.7332, 0.0000]],
  "species": ["Tb", "Eu", "Hg", "Au"],
  "fractional_positions": [[0.0000, 0.0000, 0.0000], [0.5000, 0.5000, 0.5000], [0.7500, 0.7500, 0.7500], [0.2500, 0.2500, 0.2500]],
  "spacegroup": "No. 216",
  "formation_enthalpy_0k_mev_per_atom": -625.2,
  "final_energy_ev_per_atom": -5.246,
  "volume_a3_per_cell": 104.1
}


{
  "formula": "EuThHgAu",
  "functional": "PBE-GGA",
  "state": "relaxed",
  "lattice_angstrom": [[0.0000, 3.7823, 3.7823], [3.7823, 0.0000, 3.7823], [3.7823, 3.7823, 0.0000]],
  "species": ["Eu", "Th", "Hg", "Au"],
  "fractional_positions": [[0.0000, 0.0000, 0.0000], [0.5000, 0.5000, 0.5000], [0.7500, 0.7500, 0.7500], [0.2500, 0.2500, 0.2500]],
  "spacegroup": "No. 216",
  "formation_enthalpy_0k_mev_per_atom": -467.0,
  "final_energy_ev_per_atom": -5.785,
  "volume_a3_per_cell": 108.2
}